TaPdWO2 | PBE+U | relaxed

Computed properties:
Space-group type   P4/mmm
DOS(E_F)   1.1 states/eV/cell
E   -7.4819 eV/atom
ρ   9.02 g/cm³

a = 3.874 Å, b = 3.874 Å, c = 6.170 Å
α = 90.00°, β = 90.00°, γ = 90.00°
Atoms (fractional coordinates):
Ta1 0.000 0.000 0.000
Pd1 0.500 0.500 0.500
W1 0.000 0.000 0.500
O1 0.000 0.500 0.000
O2 0.500 0.000 0.000